Entry from the Alexandria database: a relaxed structure of KAlRh2 (PBE-GGA).

Output
spin magnetization = 0.0 μB/cell
Fermi-level density of states = 2.248 states/eV per cell
symmetry = C2/m (12)
DFT formation energy = -0.041 eV/atom
crystal system = monoclinic

Unit cell a=4.288 b=4.288 c=7.175 alpha=82.65 beta=82.65 gamma=39.48
Fractional coordinates of all 4 atoms:
Al  0.750  0.750  0.750
Rh  0.474  0.474  0.597
Rh  0.026  0.026  0.903
K  0.250  0.250  0.250